Entry 1:
Density functional theory data (GGA-PBE) for a geometry-optimized MgVAu structure.

a = 7.4484 Å, b = 2.9004 Å, c = 9.3930 Å
α = 90.00°, β = 90.00°, γ = 90.00°
With the nearest neighbours (Å) after each atom.
Fractional coordinates of all 12 atoms:
Au 0.8669 0.2500 0.7012  5 Mg 2.78-2.84, 4 V 2.84-2.89, 2 Au 2.90
V 0.0628 0.7500 0.9103  2 V 2.41
Au 0.1331 0.7500 0.2988  5 Mg 2.78-2.84, 4 V 2.84-2.89, 2 Au 2.90
Mg 0.6653 0.7500 0.9069  5 Au 2.78-2.84, 2 Mg 2.90, 4 V 2.96-3.08
Mg 0.1653 0.7500 0.5931  5 Au 2.78-2.84, 2 Mg 2.90, 4 V 2.96-3.08
V 0.4372 0.2500 0.4103  2 V 2.41
Au 0.3669 0.2500 0.7988  5 Mg 2.78-2.84, 4 V 2.84-2.89, 2 Au 2.90
V 0.9372 0.2500 0.0897  2 V 2.41
Mg 0.3347 0.2500 0.0931  5 Au 2.78-2.84, 2 Mg 2.90, 4 V 2.96-3.08
Mg 0.8347 0.2500 0.4069  5 Au 2.78-2.84, 2 Mg 2.90, 4 V 2.96-3.08
Au 0.6331 0.7500 0.2012  5 Mg 2.78-2.84, 4 V 2.84-2.89, 2 Au 2.90
V 0.5628 0.7500 0.5897  2 V 2.41

Summary:
formation energy	-33	kJ/mol of formula units
total magnetic moment	0.3	μB/f.u.
electronic total energy	-57.32	eV/cell
space group	Pnma, No. 62

Entry 2:
Density functional theory data (GGA-PBE) for a geometry-optimized MgV3Au structure.

a = 4.9644 Å, b = 4.9644 Å, c = 4.9644 Å
α = 90.00°, β = 90.00°, γ = 90.00°
With the nearest neighbours (Å) after each atom.
Fractional coordinates of all 5 atoms:
V 0.0000 0.5000 0.0000  2 Au 2.48
V 0.5000 0.0000 0.0000  2 Au 2.48
Mg 0.5000 0.5000 0.5000  12 V 3.51
V 0.0000 0.0000 0.5000  2 Au 2.48
Au 0.0000 0.0000 0.0000  6 V 2.48

Summary:
formation energy	629	kJ/mol of formula units
total magnetic moment	8.9	μB/f.u.
electronic total energy	-25.71	eV/cell
space group	Pm-3m, No. 221

Entry 3:
Density functional theory data (GGA-PBE) for a geometry-optimized MgVAu structure.

a = 4.6682 Å, b = 7.5491 Å, c = 2.9096 Å
α = 90.01°, β = 92.21°, γ = 90.01°
With the nearest neighbours (Å) after each atom.
Fractional coordinates of all 6 atoms:
V 0.7569 0.1437 0.1091  1 V 2.02
Mg 0.0524 0.5180 0.2133  6 Au 2.75-3.01, 4 Mg 2.91-3.05
Mg 0.5524 0.7784 0.2130  6 Au 2.78-2.88, 4 Mg 2.91-3.05, 2 V 2.94
Au 0.0524 0.8676 0.7125  4 V 2.78-3.02, 6 Mg 2.78-3.01, 2 Au 2.91
Au 0.5523 0.4495 0.7127  2 V 2.74, 6 Mg 2.75-2.88, 2 Au 2.91
V 0.3476 0.1437 0.3146  1 V 2.02

Summary:
formation energy	-27	kJ/mol of formula units
total magnetic moment	0.0	μB/f.u.
electronic total energy	-28.53	eV/cell
space group	P2, No. 3

Entry 4:
Density functional theory data (GGA-PBE) for a geometry-optimized MgVAu structure.

a = 3.3578 Å, b = 7.3527 Å, c = 4.2557 Å
α = 73.37°, β = 90.00°, γ = 90.01°
With the nearest neighbours (Å) after each atom.
Fractional coordinates of all 6 atoms:
Au 0.7067 0.8403 0.8162  6 Mg 2.72-2.97, 2 V 2.75
Mg 0.2071 0.4934 0.9907  6 Au 2.72-2.97, 2 V 2.94
V 0.7069 0.1501 0.1627  4 V 2.71, 4 Mg 2.94
Au 0.7070 0.4600 0.5077  6 Mg 2.72-2.97, 3 V 2.75-3.04
V 0.2069 0.1501 0.6633  4 V 2.71, 4 Au 2.75
Mg 0.2066 0.8070 0.3331  6 Au 2.72-2.97, 2 V 2.94

Summary:
formation energy	-46	kJ/mol of formula units
total magnetic moment	0.2	μB/f.u.
electronic total energy	-28.94	eV/cell
space group	Pm, No. 6

Entry 5:
Density functional theory data (GGA-PBE) for a geometry-optimized MgVAu2 structure.

a = 3.1406 Å, b = 4.6876 Å, c = 4.6876 Å
α = 90.00°, β = 90.00°, γ = 90.00°
With the nearest neighbours (Å) after each atom.
Fractional coordinates of all 4 atoms:
Au 0.0000 0.5000 0.0000  4 V 2.82, 4 Mg 2.82, 2 Au 3.14
V 0.5000 0.5000 0.5000  8 Au 2.82, 2 V 3.14
Mg 0.5000 0.0000 0.0000  8 Au 2.82, 2 Mg 3.14
Au 0.0000 0.0000 0.5000  4 V 2.82, 4 Mg 2.82, 2 Au 3.14

Summary:
formation energy	-86	kJ/mol of formula units
total magnetic moment	2.6	μB/f.u.
electronic total energy	-18.16	eV/cell
space group	P4/mmm, No. 123

Entry 6:
Density functional theory data (GGA-PBE) for a geometry-optimized MgVAu structure.

a = 4.4331 Å, b = 4.4331 Å, c = 4.4331 Å
α = 60.00°, β = 60.00°, γ = 60.00°
With the nearest neighbours (Å) after each atom.
Fractional coordinates of all 3 atoms:
Mg 0.0000 0.0000 0.0000  4 V 2.71, 4 Au 2.71
Au 0.7500 0.7500 0.7500  4 Mg 2.71
V 0.2500 0.2500 0.2500  4 Mg 2.71

Summary:
formation energy	144	kJ/mol of formula units
total magnetic moment	3.7	μB/f.u.
electronic total energy	-12.50	eV/cell
space group	F-43m, No. 216

Entry 7:
Density functional theory data (GGA-PBE) for a geometry-optimized MgVAu structure.

a = 7.9454 Å, b = 3.1360 Å, c = 8.3679 Å
α = 90.00°, β = 90.00°, γ = 90.00°
With the nearest neighbours (Å) after each atom.
Fractional coordinates of all 12 atoms:
Au 0.7272 0.2500 0.3591  4 V 2.70-2.98, 5 Mg 2.80-2.86
V 0.5915 0.2500 0.0580  2 V 2.35
V 0.0915 0.2500 0.4420  2 V 2.35
Au 0.7728 0.7500 0.8591  4 V 2.70-2.98, 5 Mg 2.80-2.86
Mg 0.9347 0.7500 0.1639  5 Au 2.80-2.86, 2 V 3.07, 2 Mg 3.14
Au 0.2728 0.7500 0.6409  4 V 2.70-2.98, 5 Mg 2.80-2.86
V 0.4085 0.7500 0.9420  2 V 2.35
Mg 0.4347 0.7500 0.3361  5 Au 2.80-2.86, 2 V 3.07, 2 Mg 3.14
V 0.9085 0.7500 0.5580  2 V 2.35
Mg 0.0653 0.2500 0.8361  5 Au 2.80-2.86, 2 V 3.07, 2 Mg 3.14
Au 0.2272 0.2500 0.1409  4 V 2.70-2.98, 5 Mg 2.80-2.86
Mg 0.5653 0.2500 0.6639  5 Au 2.80-2.86, 2 V 3.07, 2 Mg 3.14

Summary:
formation energy	-40	kJ/mol of formula units
total magnetic moment	0.0	μB/f.u.
electronic total energy	-57.61	eV/cell
space group	Pnma, No. 62

Entry 8:
Density functional theory data (GGA-PBE) for a geometry-optimized MgVAu structure.

a = 7.9395 Å, b = 5.7568 Å, c = 4.5872 Å
α = 90.00°, β = 90.00°, γ = 90.00°
With the nearest neighbours (Å) after each atom.
Fractional coordinates of all 12 atoms:
Au 0.8331 0.7500 0.5000  5 V 2.65-2.88
Mg 0.0000 0.0000 0.0000  2 Mg 2.88, 6 Au 3.01, 6 V 3.01
V 0.8335 0.2500 0.5000  5 Au 2.65-2.88
Mg 0.5000 0.5000 0.5000  2 Mg 2.88, 6 Au 3.01, 6 V 3.01
Mg 0.5000 0.0000 0.5000  2 Mg 2.88, 6 Au 3.01, 6 V 3.01
Au 0.6669 0.2500 0.0000  5 V 2.65-2.88
Au 0.1669 0.2500 0.5000  5 V 2.65-2.88
V 0.1665 0.7500 0.5000  5 Au 2.65-2.88
V 0.6665 0.7500 0.0000  5 Au 2.65-2.88
Au 0.3331 0.7500 0.0000  5 V 2.65-2.88
Mg 0.0000 0.5000 0.0000  2 Mg 2.88, 6 Au 3.01, 6 V 3.01
V 0.3335 0.2500 0.0000  5 Au 2.65-2.88

Summary:
formation energy	8	kJ/mol of formula units
total magnetic moment	2.0	μB/f.u.
electronic total energy	-55.63	eV/cell
space group	P6_3/mmc, No. 194

Entry 9:
Density functional theory data (GGA-PBE) for a geometry-optimized MgVAu structure.

a = 3.7276 Å, b = 7.0293 Å, c = 3.9366 Å
α = 90.00°, β = 90.00°, γ = 74.62°
With the nearest neighbours (Å) after each atom.
Fractional coordinates of all 6 atoms:
Au 0.7952 0.8309 0.7642  6 Mg 2.71-3.00, 4 V 2.86-2.92
Mg 0.3027 0.8157 0.2642  6 Au 2.71-3.00, 4 V 2.92-3.01, 2 Mg 2.99
Mg 0.4688 0.4846 0.7642  6 Au 2.71-3.00, 4 V 2.92-3.01, 2 Mg 2.99
V 0.6367 0.1484 0.2641  4 V 2.71, 4 Au 2.86-2.92, 4 Mg 2.92-3.01
V 0.1346 0.1519 0.7642  4 V 2.71, 4 Au 2.86-2.92, 4 Mg 2.92-3.01
Au 0.9762 0.4694 0.2642  6 Mg 2.71-3.00, 4 V 2.86-2.92

Summary:
formation energy	-42	kJ/mol of formula units
total magnetic moment	0.0	μB/f.u.
electronic total energy	-28.85	eV/cell
space group	Cmcm, No. 63

Entry 10:
Density functional theory data (GGA-PBE) for a geometry-optimized MgVAu structure.

a = 3.9291 Å, b = 3.9291 Å, c = 7.2002 Å
α = 90.00°, β = 90.00°, γ = 90.00°
With the nearest neighbours (Å) after each atom.
Fractional coordinates of all 6 atoms:
Mg 0.0000 0.0000 0.5000  4 Au 2.76, 4 Mg 2.78
V 0.0000 0.5000 0.1437  5 Au 2.69-2.85
Au 0.5000 0.0000 0.2304  5 V 2.69-2.85, 4 Mg 2.76
Au 0.0000 0.5000 0.7696  5 V 2.69-2.85, 4 Mg 2.76
V 0.5000 0.0000 0.8563  5 Au 2.69-2.85
Mg 0.5000 0.5000 0.5000  4 Au 2.76, 4 Mg 2.78

Summary:
formation energy	47	kJ/mol of formula units
total magnetic moment	2.8	μB/f.u.
electronic total energy	-27.01	eV/cell
space group	P4/nmm, No. 129

Entry 11:
Density functional theory data (GGA-PBE) for a geometry-optimized MgVAu2 structure.

a = 4.0892 Å, b = 4.0892 Å, c = 9.7751 Å
α = 77.93°, β = 77.93°, γ = 90.00°
With the nearest neighbours (Å) after each atom.
Fractional coordinates of all 8 atoms:
V 0.7500 0.2500 0.5000  4 Au 2.75, 4 Mg 2.89
V 0.0000 0.0000 0.0000  4 Au 2.75, 4 Mg 2.89
Mg 0.5000 0.5000 0.0000  4 Au 2.74, 4 V 2.89
Mg 0.2500 0.7500 0.5000  4 Au 2.74, 4 V 2.89
Au 0.8750 0.8739 0.7500  2 Mg 2.74, 2 V 2.75, 4 Au 2.89-2.90
Au 0.1261 0.6250 0.2500  2 Mg 2.74, 2 V 2.75, 4 Au 2.89-2.90
Au 0.3750 0.3761 0.7500  2 Mg 2.74, 2 V 2.75, 4 Au 2.89-2.90
Au 0.6239 0.1250 0.2500  2 Mg 2.74, 2 V 2.75, 4 Au 2.89-2.90

Summary:
formation energy	112	kJ/mol of formula units
total magnetic moment	3.1	μB/f.u.
electronic total energy	-32.22	eV/cell
space group	I-42d, No. 122

Entry 12:
Density functional theory data (GGA-PBE) for a geometry-optimized Mg3VAu12 structure.

a = 4.1750 Å, b = 4.1750 Å, c = 16.3205 Å
α = 90.00°, β = 90.00°, γ = 90.00°
With the nearest neighbours (Å) after each atom.
Fractional coordinates of all 16 atoms:
Au 0.5000 0.0000 0.8769  2 V 2.90, 8 Au 2.90-2.95, 2 Mg 2.92
Au 0.5000 0.5000 0.0000  8 Au 2.90, 4 V 2.95
Au 0.5000 0.5000 0.5000  8 Au 2.93, 4 Mg 2.95
Au 0.5000 0.0000 0.3744  4 Mg 2.93, 8 Au 2.93-2.95
Au 0.5000 0.5000 0.2486  8 Au 2.92-2.93, 4 Mg 2.95
Au 0.5000 0.0000 0.1231  2 V 2.90, 8 Au 2.90-2.95, 2 Mg 2.92
Mg 0.0000 0.0000 0.5000  12 Au 2.93-2.95
Au 0.0000 0.5000 0.1231  2 V 2.90, 8 Au 2.90-2.95, 2 Mg 2.92
Au 0.0000 0.5000 0.3744  4 Mg 2.93, 8 Au 2.93-2.95
Mg 0.0000 0.0000 0.2485  12 Au 2.92-2.95
Au 0.0000 0.5000 0.6256  4 Mg 2.93, 8 Au 2.93-2.95
V 0.0000 0.0000 0.0000  12 Au 2.90-2.95
Au 0.5000 0.5000 0.7514  8 Au 2.92-2.93, 4 Mg 2.95
Au 0.0000 0.5000 0.8769  2 V 2.90, 8 Au 2.90-2.95, 2 Mg 2.92
Au 0.5000 0.0000 0.6256  4 Mg 2.93, 8 Au 2.93-2.95
Mg 0.0000 0.0000 0.7515  12 Au 2.92-2.95

Summary:
formation energy	-405	kJ/mol of formula units
total magnetic moment	3.3	μB/f.u.
electronic total energy	-57.43	eV/cell
space group	P4/mmm, No. 123

Entry 13:
Density functional theory data (GGA-PBE) for a geometry-optimized MgVAu structure.

a = 4.7043 Å, b = 7.7770 Å, c = 2.8987 Å
α = 91.95°, β = 83.82°, γ = 107.50°
With the nearest neighbours (Å) after each atom.
Fractional coordinates of all 6 atoms:
V 0.8501 0.1502 0.9272  1 V 2.09
Mg 0.2402 0.5256 0.0424  6 Au 2.72-2.98, 4 Mg 2.90-2.99, 2 V 2.97
Au 0.6915 0.4279 0.5431  6 Mg 2.72-2.98, 4 V 2.79-2.98, 2 Au 2.90
V 0.2544 0.1501 0.1597  1 V 2.09
Au 0.4133 0.8724 0.5434  6 Mg 2.72-2.98, 4 V 2.79-2.98, 2 Au 2.90
Mg 0.8646 0.7748 0.0428  6 Au 2.72-2.98, 4 Mg 2.90-2.99, 2 V 2.97

Summary:
formation energy	-37	kJ/mol of formula units
total magnetic moment	0.0	μB/f.u.
electronic total energy	-28.75	eV/cell
space group	P-1, No. 2